(1)
! DyHfW, optimized geometry, DFT PBE; values from VASP
! * formation enthalpy at 0 K: 1.61 eV per atom
&SYSTEM
  ibrav = 0, nat = 3, ntyp = 3
/
ATOMIC_SPECIES
Dy 162.50 Dy.upf
Hf 178.49 Hf.upf
W 183.84 W.upf
CELL_PARAMETERS angstrom
0.000 3.307 3.307
3.307 0.000 3.307
3.307 3.307 0.000
ATOMIC_POSITIONS crystal
Dy 0.000 0.000 0.000
Hf 0.750 0.750 0.750
W 0.250 0.250 0.250

(2)
! CsGdTh, optimized geometry, DFT PBE; values from VASP
! * total DFT energy (no corrections): -2.84 eV/atom
&SYSTEM
  ibrav = 0, nat = 3, ntyp = 3
/
ATOMIC_SPECIES
Cs 132.91 Cs.upf
Gd 157.25 Gd.upf
Th 232.04 Th.upf
CELL_PARAMETERS angstrom
0.000 3.895 3.895
3.895 0.000 3.895
3.895 3.895 0.000
ATOMIC_POSITIONS crystal
Cs 0.000 0.000 0.000
Gd 0.750 0.750 0.750
Th 0.250 0.250 0.250

(3)
! Y3Ho2Lu3, optimized geometry, DFT PBE; values from VASP
! * formation enthalpy at 0 K: 0.00 eV per atom
&SYSTEM
  ibrav = 0, nat = 8, ntyp = 3
/
ATOMIC_SPECIES
Y 88.91 Y.upf
Ho 164.93 Ho.upf
Lu 174.97 Lu.upf
CELL_PARAMETERS angstrom
7.179 0.000 0.000
-3.590 6.217 0.000
0.000 0.000 5.573
ATOMIC_POSITIONS crystal
Y 0.000 0.500 0.000
Y 0.500 0.000 0.000
Y 0.500 0.500 0.000
Ho 0.000 0.000 0.000
Ho 0.333 0.667 0.500
Lu 0.332 0.166 0.500
Lu 0.834 0.166 0.500
Lu 0.834 0.668 0.500

(4)
! ZrTe, optimized geometry, DFT PBE; values from VASP
! * total DFT energy (no corrections): -5.92 eV/atom
&SYSTEM
  ibrav = 0, nat = 2, ntyp = 2
/
ATOMIC_SPECIES
Zr 91.22 Zr.upf
Te 127.60 Te.upf
CELL_PARAMETERS angstrom
0.000 3.258 3.258
3.258 0.000 3.258
3.258 3.258 0.000
ATOMIC_POSITIONS crystal
Zr 0.000 0.000 0.000
Te 0.250 0.250 0.250

(5)
! KErCdTe3, optimized geometry, DFT PBE; values from VASP
! * total DFT energy (no corrections): -3.71 eV/atom
&SYSTEM
  ibrav = 0, nat = 24, ntyp = 4
/
ATOMIC_SPECIES
K 39.10 K.upf
Er 167.26 Er.upf
Cd 112.41 Cd.upf
Te 127.60 Te.upf
CELL_PARAMETERS angstrom
11.763 0.000 0.000
0.000 4.461 0.000
0.000 0.000 15.799
ATOMIC_POSITIONS crystal
K 0.234 0.250 0.007
K 0.266 0.750 0.507
K 0.734 0.250 0.493
K 0.766 0.750 0.993
Er 0.014 0.750 0.747
Er 0.486 0.250 0.247
Er 0.514 0.750 0.753
Er 0.986 0.250 0.253
Cd 0.239 0.750 0.214
Cd 0.261 0.250 0.714
Cd 0.739 0.750 0.286
Cd 0.761 0.250 0.786
Te 0.035 0.750 0.122
Te 0.062 0.250 0.616
Te 0.237 0.250 0.327
Te 0.263 0.750 0.827
Te 0.438 0.750 0.116
Te 0.465 0.250 0.622
Te 0.535 0.750 0.378
Te 0.562 0.250 0.884
Te 0.737 0.250 0.173
Te 0.763 0.750 0.673
Te 0.938 0.750 0.384
Te 0.965 0.250 0.878

(6)
! BaHfBePt, optimized geometry, DFT PBE; values from VASP
! * total DFT energy (no corrections): -5.13 eV/atom
&SYSTEM
  ibrav = 0, nat = 4, ntyp = 4
/
ATOMIC_SPECIES
Ba 137.33 Ba.upf
Hf 178.49 Hf.upf
Be 9.01 Be.upf
Pt 195.08 Pt.upf
CELL_PARAMETERS angstrom
0.000 3.556 3.556
3.556 0.000 3.556
3.556 3.556 0.000
ATOMIC_POSITIONS crystal
Ba 0.000 0.000 0.000
Hf 0.500 0.500 0.500
Be 0.750 0.750 0.750
Pt 0.250 0.250 0.250

(7)
! PmAlPd, optimized geometry, DFT PBE; values from VASP
! * total DFT energy (no corrections): -5.39 eV/atom
&SYSTEM
  ibrav = 0, nat = 12, ntyp = 3
/
ATOMIC_SPECIES
Pm 145.00 Pm.upf
Al 26.98 Al.upf
Pd 106.42 Pd.upf
CELL_PARAMETERS angstrom
7.112 0.000 0.000
0.000 4.526 0.000
0.000 0.000 7.814
ATOMIC_POSITIONS crystal
Pm 0.035 0.250 0.180
Pm 0.465 0.750 0.680
Pm 0.535 0.250 0.320
Pm 0.965 0.750 0.820
Al 0.146 0.250 0.566
Al 0.354 0.750 0.066
Al 0.646 0.250 0.934
Al 0.854 0.750 0.434
Pd 0.218 0.750 0.386
Pd 0.282 0.250 0.886
Pd 0.718 0.750 0.114
Pd 0.782 0.250 0.614

(8)
! RbTaIn, optimized geometry, DFT PBE; values from VASP
! * total DFT energy (no corrections): -2.91 eV/atom
&SYSTEM
  ibrav = 0, nat = 3, ntyp = 3
/
ATOMIC_SPECIES
Rb 85.47 Rb.upf
Ta 180.95 Ta.upf
In 114.82 In.upf
CELL_PARAMETERS angstrom
0.000 3.923 3.923
3.923 0.000 3.923
3.923 3.923 0.000
ATOMIC_POSITIONS crystal
Rb 0.000 0.000 0.000
Ta 0.250 0.250 0.250
In 0.750 0.750 0.750

(9)
! K4YTm, optimized geometry, DFT PBE; values from VASP
! * total DFT energy (no corrections): -2.10 eV/atom
&SYSTEM
  ibrav = 0, nat = 6, ntyp = 3
/
ATOMIC_SPECIES
K 39.10 K.upf
Y 88.91 Y.upf
Tm 168.93 Tm.upf
CELL_PARAMETERS angstrom
7.262 0.000 0.000
0.000 1.961 10.569
0.000 -1.961 10.569
ATOMIC_POSITIONS crystal
K 0.000 0.000 0.000
K 0.000 0.327 0.327
K 0.000 0.656 0.656
K 0.500 0.829 0.829
Y 0.500 0.143 0.143
Tm 0.500 0.514 0.514

(10)
! CsTaGa, optimized geometry, DFT PBE; values from VASP
! * total DFT energy (no corrections): -2.83 eV/atom
&SYSTEM
  ibrav = 0, nat = 3, ntyp = 3
/
ATOMIC_SPECIES
Cs 132.91 Cs.upf
Ta 180.95 Ta.upf
Ga 69.72 Ga.upf
CELL_PARAMETERS angstrom
0.000 3.682 3.682
3.682 0.000 3.682
3.682 3.682 0.000
ATOMIC_POSITIONS crystal
Cs 0.000 0.000 0.000
Ta 0.250 0.250 0.250
Ga 0.750 0.750 0.750

(11)
! InSnHg3Se4, optimized geometry, DFT PBE; values from VASP
! * total DFT energy (no corrections): -2.46 eV/atom
&SYSTEM
  ibrav = 0, nat = 9, ntyp = 4
/
ATOMIC_SPECIES
In 114.82 In.upf
Sn 118.71 Sn.upf
Hg 200.59 Hg.upf
Se 78.96 Se.upf
CELL_PARAMETERS angstrom
6.701 0.000 0.000
0.000 6.701 0.000
0.000 0.000 6.701
ATOMIC_POSITIONS crystal
In 0.000 0.000 0.000
Sn 0.500 0.500 0.500
Hg 0.000 0.500 0.500
Hg 0.500 0.000 0.500
Hg 0.500 0.500 0.000
Se 0.252 0.252 0.252
Se 0.252 0.748 0.748
Se 0.748 0.252 0.748
Se 0.748 0.748 0.252

(12)
! ZrInNiTe3, optimized geometry, DFT PBE; values from VASP
! * total DFT energy (no corrections): -4.91 eV/atom
&SYSTEM
  ibrav = 0, nat = 12, ntyp = 4
/
ATOMIC_SPECIES
Zr 91.22 Zr.upf
In 114.82 In.upf
Ni 58.69 Ni.upf
Te 127.60 Te.upf
CELL_PARAMETERS angstrom
1.956 -7.622 0.000
1.956 7.622 0.000
0.000 0.000 10.637
ATOMIC_POSITIONS crystal
Zr 0.000 0.000 0.000
Zr 0.000 0.000 0.500
In 0.244 0.756 0.750
In 0.756 0.244 0.250
Ni 0.468 0.532 0.250
Ni 0.532 0.468 0.750
Te 0.075 0.925 0.250
Te 0.363 0.637 0.060
Te 0.363 0.637 0.440
Te 0.637 0.363 0.560
Te 0.637 0.363 0.940
Te 0.925 0.075 0.750

(13)
! Te2Pd2O5, optimized geometry, DFT PBE; values from VASP
! * total DFT energy (no corrections): -4.70 eV/atom
&SYSTEM
  ibrav = 0, nat = 9, ntyp = 3
/
ATOMIC_SPECIES
Te 127.60 Te.upf
Pd 106.42 Pd.upf
O 16.00 O.upf
CELL_PARAMETERS angstrom
3.889 0.000 0.000
0.000 3.889 0.000
0.000 0.000 8.236
ATOMIC_POSITIONS crystal
Te 0.000 0.000 0.000
Te 0.000 0.000 0.500
Pd 0.500 0.500 0.226
Pd 0.500 0.500 0.774
O 0.000 0.500 0.157
O 0.000 0.500 0.843
O 0.500 0.000 0.157
O 0.500 0.000 0.843
O 0.500 0.500 0.500

(14)
! Al2CdSn, optimized geometry, DFT PBE; values from VASP
! * total DFT energy (no corrections): -2.87 eV/atom
&SYSTEM
  ibrav = 0, nat = 4, ntyp = 3
/
ATOMIC_SPECIES
Al 26.98 Al.upf
Cd 112.41 Cd.upf
Sn 118.71 Sn.upf
CELL_PARAMETERS angstrom
0.000 3.519 3.519
3.519 0.000 3.519
3.519 3.519 0.000
ATOMIC_POSITIONS crystal
Al 0.000 0.000 0.000
Al 0.250 0.250 0.250
Cd 0.750 0.750 0.750
Sn 0.500 0.500 0.500

(15)
! FeCuHgSb, optimized geometry, DFT PBE; values from VASP
! * total DFT energy (no corrections): -3.71 eV/atom
&SYSTEM
  ibrav = 0, nat = 4, ntyp = 4
/
ATOMIC_SPECIES
Fe 55.84 Fe.upf
Cu 63.55 Cu.upf
Hg 200.59 Hg.upf
Sb 121.76 Sb.upf
CELL_PARAMETERS angstrom
0.000 3.281 3.281
3.281 0.000 3.281
3.281 3.281 0.000
ATOMIC_POSITIONS crystal
Fe 0.000 0.000 0.000
Cu 0.500 0.500 0.500
Hg 0.750 0.750 0.750
Sb 0.250 0.250 0.250

(16)
! SrPmCd, optimized geometry, DFT PBE; values from VASP
! * total DFT energy (no corrections): -2.38 eV/atom
&SYSTEM
  ibrav = 0, nat = 3, ntyp = 3
/
ATOMIC_SPECIES
Sr 87.62 Sr.upf
Pm 145.00 Pm.upf
Cd 112.41 Cd.upf
CELL_PARAMETERS angstrom
0.000 3.834 3.834
3.834 0.000 3.834
3.834 3.834 0.000
ATOMIC_POSITIONS crystal
Sr 0.000 0.000 0.000
Pm 0.500 0.500 0.500
Cd 0.750 0.750 0.750

(17)
! BeReOs, optimized geometry, DFT PBE; values from VASP
! * total DFT energy (no corrections): -8.76 eV/atom
&SYSTEM
  ibrav = 0, nat = 3, ntyp = 3
/
ATOMIC_SPECIES
Be 9.01 Be.upf
Re 186.21 Re.upf
Os 190.23 Os.upf
CELL_PARAMETERS angstrom
0.000 2.849 2.849
2.849 0.000 2.849
2.849 2.849 0.000
ATOMIC_POSITIONS crystal
Be 0.000 0.000 0.000
Re 0.500 0.500 0.500
Os 0.250 0.250 0.250

(18)
! Ga5IrPd, optimized geometry, DFT PBE; values from VASP
! * total DFT energy (no corrections): -4.37 eV/atom
&SYSTEM
  ibrav = 0, nat = 7, ntyp = 3
/
ATOMIC_SPECIES
Ga 69.72 Ga.upf
Ir 192.22 Ir.upf
Pd 106.42 Pd.upf
CELL_PARAMETERS angstrom
4.442 0.000 0.000
0.000 4.442 0.000
0.000 0.000 5.848
ATOMIC_POSITIONS crystal
Ga 0.000 0.000 0.000
Ga 0.000 0.500 0.263
Ga 0.000 0.500 0.737
Ga 0.500 0.000 0.263
Ga 0.500 0.000 0.737
Ir 0.500 0.500 0.000
Pd 0.500 0.500 0.500

(19)
! ZnCu7, optimized geometry, DFT PBE; values from VASP
! * formation enthalpy at 0 K: 0.07 eV per atom
&SYSTEM
  ibrav = 0, nat = 16, ntyp = 2
/
ATOMIC_SPECIES
Zn 65.41 Zn.upf
Cu 63.55 Cu.upf
CELL_PARAMETERS angstrom
2.559 0.000 0.000
0.000 3.465 0.000
0.000 0.000 32.033
ATOMIC_POSITIONS crystal
Zn 0.250 0.250 0.194
Zn 0.750 0.750 0.806
Cu 0.250 0.250 0.280
Cu 0.250 0.250 0.361
Cu 0.250 0.250 0.441
Cu 0.250 0.250 0.520
Cu 0.250 0.250 0.599
Cu 0.250 0.250 0.680
Cu 0.250 0.250 0.763
Cu 0.750 0.750 0.237
Cu 0.750 0.750 0.320
Cu 0.750 0.750 0.401
Cu 0.750 0.750 0.480
Cu 0.750 0.750 0.559
Cu 0.750 0.750 0.639
Cu 0.750 0.750 0.720

(20)
! CdInW, optimized geometry, DFT PBE; values from VASP
! * total DFT energy (no corrections): -4.26 eV/atom
&SYSTEM
  ibrav = 0, nat = 3, ntyp = 3
/
ATOMIC_SPECIES
Cd 112.41 Cd.upf
In 114.82 In.upf
W 183.84 W.upf
CELL_PARAMETERS angstrom
0.000 3.276 3.276
3.276 0.000 3.276
3.276 3.276 0.000
ATOMIC_POSITIONS crystal
Cd 0.000 0.000 0.000
In 0.250 0.250 0.250
W 0.500 0.500 0.500

(21)
! KNaHfTe3, optimized geometry, DFT PBE; values from VASP
! * total DFT energy (no corrections): -4.56 eV/atom
&SYSTEM
  ibrav = 0, nat = 12, ntyp = 4
/
ATOMIC_SPECIES
K 39.10 K.upf
Na 22.99 Na.upf
Hf 178.49 Hf.upf
Te 127.60 Te.upf
CELL_PARAMETERS angstrom
3.831 -6.707 0.000
3.831 6.707 0.000
-2.979 0.000 7.739
ATOMIC_POSITIONS crystal
K 0.000 0.000 0.000
K 0.500 0.500 0.500
Na 0.152 0.848 0.500
Na 0.848 0.152 0.500
Hf 0.331 0.669 0.000
Hf 0.669 0.331 0.000
Te 0.080 0.468 0.220
Te 0.294 0.294 0.790
Te 0.468 0.080 0.220
Te 0.532 0.920 0.780
Te 0.706 0.706 0.210
Te 0.920 0.532 0.780

(22)
! AcAsW, optimized geometry, DFT PBE; values from VASP
! * total DFT energy (no corrections): -6.59 eV/atom
&SYSTEM
  ibrav = 0, nat = 3, ntyp = 3
/
ATOMIC_SPECIES
Ac 227.00 Ac.upf
As 74.92 As.upf
W 183.84 W.upf
CELL_PARAMETERS angstrom
0.000 3.326 3.326
3.326 0.000 3.326
3.326 3.326 0.000
ATOMIC_POSITIONS crystal
Ac 0.000 0.000 0.000
As 0.500 0.500 0.500
W 0.750 0.750 0.750

(23)
! Li3Sb2Au3, optimized geometry, DFT PBE; values from VASP
! * total DFT energy (no corrections): -3.30 eV/atom
&SYSTEM
  ibrav = 0, nat = 8, ntyp = 3
/
ATOMIC_SPECIES
Li 6.94 Li.upf
Sb 121.76 Sb.upf
Au 196.97 Au.upf
CELL_PARAMETERS angstrom
2.794 1.613 6.492
-2.794 1.613 6.492
0.000 -3.226 6.492
ATOMIC_POSITIONS crystal
Li 0.000 0.000 0.000
Li 0.427 0.427 0.427
Li 0.573 0.573 0.573
Sb 0.281 0.281 0.281
Sb 0.719 0.719 0.719
Au 0.000 0.000 0.500
Au 0.000 0.500 0.000
Au 0.500 0.000 0.000

(24)
! ScFeSnIr, optimized geometry, DFT PBE; values from VASP
! * total DFT energy (no corrections): -7.03 eV/atom
&SYSTEM
  ibrav = 0, nat = 4, ntyp = 4
/
ATOMIC_SPECIES
Sc 44.96 Sc.upf
Fe 55.84 Fe.upf
Sn 118.71 Sn.upf
Ir 192.22 Ir.upf
CELL_PARAMETERS angstrom
0.000 3.242 3.242
3.242 0.000 3.242
3.242 3.242 0.000
ATOMIC_POSITIONS crystal
Sc 0.000 0.000 0.000
Fe 0.500 0.500 0.500
Sn 0.250 0.250 0.250
Ir 0.750 0.750 0.750

(25)
! Li2CoAgH6, optimized geometry, DFT PBE; values from VASP
! * total DFT energy (no corrections): -3.53 eV/atom
&SYSTEM
  ibrav = 0, nat = 10, ntyp = 4
/
ATOMIC_SPECIES
Li 6.94 Li.upf
Co 58.93 Co.upf
Ag 107.87 Ag.upf
H 1.01 H.upf
CELL_PARAMETERS angstrom
0.000 3.410 3.410
3.410 0.000 3.410
3.410 3.410 0.000
ATOMIC_POSITIONS crystal
Li 0.250 0.250 0.250
Li 0.750 0.750 0.750
Co 0.000 0.000 0.000
Ag 0.500 0.500 0.500
H 0.226 0.226 0.774
H 0.226 0.774 0.226
H 0.226 0.774 0.774
H 0.774 0.226 0.226
H 0.774 0.226 0.774
H 0.774 0.774 0.226

(26)
! DyTmTlB, optimized geometry, DFT PBE; values from VASP
! * total DFT energy (no corrections): -4.64 eV/atom
&SYSTEM
  ibrav = 0, nat = 8, ntyp = 4
/
ATOMIC_SPECIES
Dy 162.50 Dy.upf
Tm 168.93 Tm.upf
Tl 204.38 Tl.upf
B 10.81 B.upf
CELL_PARAMETERS angstrom
3.617 0.000 0.000
-1.809 3.133 0.000
0.000 0.000 16.785
ATOMIC_POSITIONS crystal
Dy 0.000 0.000 0.161
Dy 0.000 0.000 0.839
Tm 0.333 0.667 0.343
Tm 0.333 0.667 0.657
Tl 0.000 0.000 0.500
Tl 0.333 0.667 0.000
B 0.667 0.333 0.253
B 0.667 0.333 0.747